The following is a DFT calculation (PBE-GGA) of Li2Sc2Cd3 after structural relaxation.

Output
energy of formation: -209 meV per atom
total DFT energy (no corrections): -20.700 eV/cell

Cell lengths 3.6386, 3.3676, 11.9742 Å; angles 90.00, 81.26, 90.00 degrees
Atoms (fractional coordinates):
Li  0.7103  0.5000  0.5795
Li  0.2897  0.5000  0.4205
Cd  0.8474  0.0000  0.3053
Cd  0.0000  0.0000  0.0000
Cd  0.1526  0.0000  0.6947
Sc  0.5755  0.5000  0.8490
Sc  0.4245  0.5000  0.1510

---

The following is a DFT calculation (PBE-GGA) of TbTm2 after structural relaxation.

Output
offset from the most stable computed form: 22 meV per atom
energy of formation: 23 meV per atom
total DFT energy (no corrections): -27.006 eV/cell

Cell lengths 3.5040, 7.0144, 9.2626 Å; angles 124.58, 100.90, 90.00 degrees
Atoms (fractional coordinates):
Tm  0.1662  0.7499  0.3325
Tm  0.8338  0.2501  0.6675
Tm  0.4998  0.2515  0.9997
Tm  0.5002  0.7485  0.0003
Tb  0.1662  0.2489  0.3325
Tb  0.8338  0.7511  0.6675

---

The following is a DFT calculation (PBE-GGA) of BiAs2IrSe after structural relaxation.

Output
offset from the most stable computed form: 1197 meV per atom
total DFT energy (no corrections): -17.634 eV/cell
uncorrected formation energy: 1.58 eV/atom

Cell lengths 5.4181, 5.0340, 5.4181 Å; angles 90.00, 90.00, 90.00 degrees
Atoms (fractional coordinates):
As  0.5000  0.0000  0.0000
As  0.0000  0.0000  0.5000
Bi  0.0000  0.0000  0.0000
Ir  0.0000  0.5000  0.0000
Se  0.5000  0.5000  0.5000

---

The following is a DFT calculation (PBE-GGA) of Tb3Er12Cd after structural relaxation.

Output
energy of formation: -3 meV per atom
total DFT energy (no corrections): -69.607 eV/cell

Cell lengths 4.9244, 4.9244, 19.8810 Å; angles 90.00, 90.00, 90.00 degrees
Atoms (fractional coordinates):
Tb  0.0000  0.0000  0.2480
Tb  0.0000  0.0000  0.7520
Tb  0.0000  0.0000  0.5000
Er  0.5000  0.5000  0.0000
Er  0.5000  0.0000  0.1213
Er  0.5000  0.5000  0.5000
Er  0.5000  0.5000  0.2443
Er  0.0000  0.5000  0.1213
Er  0.0000  0.5000  0.3733
Er  0.5000  0.5000  0.7557
Er  0.5000  0.0000  0.3733
Er  0.0000  0.5000  0.8787
Er  0.5000  0.0000  0.6267
Er  0.5000  0.0000  0.8787
Er  0.0000  0.5000  0.6267
Cd  0.0000  0.0000  0.0000

---

The following is a DFT calculation (PBE-GGA) of MnBSb2 after structural relaxation.

Output
total DFT energy (no corrections): -44.304 eV/cell
uncorrected formation energy: 0.48 eV/atom

Cell lengths 6.0242, 6.0242, 6.6339 Å; angles 63.00, 63.00, 90.00 degrees
Atoms (fractional coordinates):
Mn  0.7500  0.2500  0.5000
Mn  0.0000  0.0000  0.0000
B  0.5000  0.5000  0.0000
B  0.2500  0.7500  0.5000
Sb  0.1780  0.6250  0.2500
Sb  0.3750  0.4280  0.7500
Sb  0.5720  0.1250  0.2500
Sb  0.8750  0.8220  0.7500

---

The following is a DFT calculation (PBE-GGA) of Ho2PuTh3S6 after structural relaxation.

Output
total DFT energy (no corrections): -93.015 eV/cell
uncorrected formation energy: -1.88 eV/atom

Cell lengths 3.9387, 8.0171, 8.9693 Å; angles 105.31, 102.68, 90.00 degrees
Atoms (fractional coordinates):
Pu  0.5000  0.0000  0.0000
Ho  0.8347  0.6689  0.6694
Ho  0.1653  0.3311  0.3306
S  0.0039  0.2434  0.0078
S  0.6643  0.0945  0.3286
S  0.3357  0.9055  0.6714
S  0.9961  0.7566  0.9922
S  0.3290  0.4257  0.6580
S  0.6710  0.5743  0.3420
Th  0.8338  0.1647  0.6676
Th  0.5000  0.5000  0.0000
Th  0.1662  0.8353  0.3324